# TmBiH (GGA-PBE, relaxed)
# uncorrected energy: -13.47 eV per cell
# calculated volume: 19.53 Å³/atom
# excess energy over the best structure of this formula in the dataset: 0.0 meV per atom
data_TmBiH
_chemical_formula_sum 'Tm1 Bi1 H1'
_space_group_name_H-M_alt 'P -6 m 2'
_space_group_IT_number 187
_space_group_name_Hall 'P -6 2'
_cell_length_a 3.7468
_cell_length_b 3.7468
_cell_length_c 4.8203
_cell_angle_alpha 90.00
_cell_angle_beta 90.00
_cell_angle_gamma 120.00
loop_
_atom_site_label
_atom_site_fract_x
_atom_site_fract_y
_atom_site_fract_z
_atom_site_occupancy
Tm1 0.0000 0.0000 0.0000 1
Bi1 0.6667 0.3333 0.5000 1
H1 0.3333 0.6667 0.0000 1

=====

# La2GaIr (GGA-PBE, relaxed)
# uncorrected energy: -24.08 eV per cell
# DFT formation energy: -0.59 eV per atom
# calculated volume: 25.02 Å³/atom
data_La2GaIr
_chemical_formula_sum 'La2 Ga1 Ir1'
_space_group_name_H-M_alt 'P 4/m m m'
_space_group_IT_number 123
_space_group_name_Hall '-P 4 2'
_cell_length_a 3.738
_cell_length_b 3.738
_cell_length_c 7.163
_cell_angle_alpha 90.00
_cell_angle_beta 90.00
_cell_angle_gamma 90.00
loop_
_atom_site_label
_atom_site_fract_x
_atom_site_fract_y
_atom_site_fract_z
_atom_site_occupancy
La1 0.000 0.000 0.230 1
Ga1 0.500 0.500 0.500 1
Ir1 0.500 0.500 0.000 1

=====

# Nd3AlSi6Rh2 (GGA-PBE, relaxed)
# energy relative to the elements, uncorrected: -0.387 eV per atom
# uncorrected energy: -69.94 eV per cell
# calculated volume: 19.87 Å³/atom
data_Nd3AlSi6Rh2
_chemical_formula_sum 'Nd3 Al1 Si6 Rh2'
_space_group_name_H-M_alt 'P -3 m 1'
_space_group_IT_number 164
_space_group_name_Hall '-P 3 2"'
_cell_length_a 5.7812
_cell_length_b 5.7812
_cell_length_c 8.2385
_cell_angle_alpha 90.00
_cell_angle_beta 90.00
_cell_angle_gamma 120.00
loop_
_atom_site_label
_atom_site_fract_x
_atom_site_fract_y
_atom_site_fract_z
_atom_site_occupancy
Nd1 0.0000 0.0000 0.0000 1
Nd2 0.3333 0.6667 0.6143 1
Al1 0.0000 0.0000 0.5000 1
Si1 0.1921 0.3841 0.2778 1
Rh1 0.3333 0.6667 0.0428 1

=====

# Tc3AgSe (GGA-PBE, relaxed)
# energy relative to the elements, uncorrected: 1.159 eV per atom
# uncorrected energy: -31.64 eV per cell
# calculated volume: 18.80 Å³/atom
# excess energy over the best structure of this formula in the dataset: 0.0 meV per atom
data_Tc3AgSe
_chemical_formula_sum 'Tc3 Ag1 Se1'
_space_group_name_H-M_alt 'P m -3 m'
_space_group_IT_number 221
_space_group_name_Hall '-P 4 2 3'
_cell_length_a 4.547
_cell_length_b 4.547
_cell_length_c 4.547
_cell_angle_alpha 90.00
_cell_angle_beta 90.00
_cell_angle_gamma 90.00
loop_
_atom_site_label
_atom_site_fract_x
_atom_site_fract_y
_atom_site_fract_z
_atom_site_occupancy
Tc1 0.000 0.000 0.500 1
Ag1 0.500 0.500 0.500 1
Se1 0.000 0.000 0.000 1

=====

# AlFe2Ru (GGA-PBE, relaxed)
# uncorrected energy: -123.27 eV per cell
# DFT formation energy: -0.22 eV per atom
# calculated volume: 12.73 Å³/atom
data_AlFe2Ru
_chemical_formula_sum 'Al4 Fe8 Ru4'
_space_group_name_H-M_alt 'F -4 3 m'
_space_group_IT_number 216
_space_group_name_Hall 'F -4 2 3'
_cell_length_a 5.883
_cell_length_b 5.883
_cell_length_c 5.883
_cell_angle_alpha 90.00
_cell_angle_beta 90.00
_cell_angle_gamma 90.00
loop_
_atom_site_label
_atom_site_fract_x
_atom_site_fract_y
_atom_site_fract_z
_atom_site_occupancy
Al1 0.000 0.000 0.000 1
Fe1 0.000 0.000 0.500 1
Fe2 0.250 0.250 0.250 1
Ru1 0.250 0.250 0.750 1

=====

# Li8PmZn4 (GGA-PBE, relaxed)
# uncorrected energy: -53.53 eV per cell
# DFT formation energy: -0.12 eV per atom
# calculated volume: 17.77 Å³/atom
data_Li8PmZn4
_chemical_formula_sum 'Li16 Pm2 Zn8'
_space_group_name_H-M_alt 'I 4/m m m'
_space_group_IT_number 139
_space_group_name_Hall '-I 4 2'
_cell_length_a 9.363
_cell_length_b 9.363
_cell_length_c 5.270
_cell_angle_alpha 90.00
_cell_angle_beta 90.00
_cell_angle_gamma 90.00
loop_
_atom_site_label
_atom_site_fract_x
_atom_site_fract_y
_atom_site_fract_z
_atom_site_occupancy
Li1 0.000 0.222 0.000 1
Li2 0.000 0.349 0.500 1
Pm1 0.000 0.000 0.500 1
Zn1 0.250 0.250 0.250 1

=====

# Zr2ScSb (GGA-PBE, relaxed)
# energy relative to the elements, uncorrected: -0.233 eV per atom
# uncorrected energy: -56.96 eV per cell
# calculated volume: 23.55 Å³/atom
data_Zr2ScSb
_chemical_formula_sum 'Zr4 Sc2 Sb2'
_space_group_name_H-M_alt 'C m m 2'
_space_group_IT_number 35
_cell_length_a 4.076
_cell_length_b 5.139
_cell_length_c 8.995
_cell_angle_alpha 90.00
_cell_angle_beta 90.00
_cell_angle_gamma 90.00
loop_
_space_group_symop_operation_xyz
'x,y,z'
'-x,-y,z'
'-x,y,z'
'x,-y,z'
'x+1/2,y+1/2,z'
'-x+1/2,-y+1/2,z'
'-x+1/2,y+1/2,z'
'x+1/2,-y+1/2,z'
loop_
_atom_site_label
_atom_site_fract_x
_atom_site_fract_y
_atom_site_fract_z
_atom_site_occupancy
Zr1 0.000 0.000 0.000 1
Zr2 0.000 0.500 0.252 1
Sc1 0.000 0.000 0.513 1
Sb1 0.000 0.500 0.759 1

=====

# Ce4GeSe3 (GGA-PBE, relaxed)
# energy relative to the elements, uncorrected: -1.585 eV per atom
# uncorrected energy: -51.49 eV per cell
# calculated volume: 26.49 Å³/atom
data_Ce4GeSe3
_chemical_formula_sum 'Ce4 Ge1 Se3'
_space_group_name_H-M_alt 'P m -3 m'
_space_group_IT_number 221
_space_group_name_Hall '-P 4 2 3'
_cell_length_a 5.962
_cell_length_b 5.962
_cell_length_c 5.962
_cell_angle_alpha 90.00
_cell_angle_beta 90.00
_cell_angle_gamma 90.00
loop_
_atom_site_label
_atom_site_fract_x
_atom_site_fract_y
_atom_site_fract_z
_atom_site_occupancy
Ce1 0.000 0.000 0.000 1
Ce2 0.000 0.500 0.500 1
Ge1 0.500 0.500 0.500 1
Se1 0.000 0.000 0.500 1

=====

# Th3TcBiH (GGA-PBE, relaxed)
# uncorrected energy: -84.01 eV per cell
# calculated volume: 26.00 Å³/atom
data_Th3TcBiH
_chemical_formula_sum 'Th6 Tc2 Bi2 H2'
_space_group_name_H-M_alt 'P 1 21/m 1'
_space_group_IT_number 11
_cell_length_a 8.304
_cell_length_b 4.448
_cell_length_c 8.940
_cell_angle_alpha 90.00
_cell_angle_beta 109.10
_cell_angle_gamma 90.00
loop_
_space_group_symop_operation_xyz
'x,y,z'
'-x,-y,-z'
'-x,y+1/2,-z'
'x,-y+1/2,z'
loop_
_atom_site_label
_atom_site_fract_x
_atom_site_fract_y
_atom_site_fract_z
_atom_site_occupancy
Th1 0.054 0.250 0.287 1
Th2 0.321 0.250 0.924 1
Th3 0.343 0.750 0.595 1
Tc1 0.111 0.250 0.609 1
Bi1 0.330 0.750 0.207 1
H1 0.398 0.750 0.875 1

=====

# La6Pm8In (GGA-PBE, relaxed)
# uncorrected energy: -69.65 eV per cell
# DFT formation energy: 0.04 eV per atom
# calculated volume: 35.31 Å³/atom
data_La6Pm8In
_chemical_formula_sum 'La6 Pm8 In1'
_space_group_name_H-M_alt 'P -3'
_space_group_IT_number 147
_cell_length_a 9.5690
_cell_length_b 9.5690
_cell_length_c 6.6788
_cell_angle_alpha 90.00
_cell_angle_beta 90.00
_cell_angle_gamma 120.00
loop_
_space_group_symop_operation_xyz
'x,y,z'
'-x,-y,-z'
'-y,x-y,z'
'y,-x+y,-z'
'-x+y,-x,z'
'x-y,x,-z'
loop_
_atom_site_label
_atom_site_fract_x
_atom_site_fract_y
_atom_site_fract_z
_atom_site_occupancy
La1 0.0892 0.6455 0.1724 1
Pm1 0.0414 0.7760 0.6818 1
Pm2 0.3333 0.6667 0.6382 1
In1 0.0000 0.0000 0.0000 1

=====

# MgPbSe (GGA-PBE, relaxed)
# energy relative to the elements, uncorrected: -0.114 eV per atom
# uncorrected energy: -36.52 eV per cell
# calculated volume: 30.41 Å³/atom
# excess energy over the best structure of this formula in the dataset: 395.2 meV per atom
data_MgPbSe
_chemical_formula_sum 'Mg4 Pb4 Se4'
_space_group_name_H-M_alt 'F -4 3 m'
_space_group_IT_number 216
_space_group_name_Hall 'F -4 2 3'
_cell_length_a 7.146
_cell_length_b 7.146
_cell_length_c 7.146
_cell_angle_alpha 90.00
_cell_angle_beta 90.00
_cell_angle_gamma 90.00
loop_
_atom_site_label
_atom_site_fract_x
_atom_site_fract_y
_atom_site_fract_z
_atom_site_occupancy
Mg1 0.000 0.000 0.000 1
Pb1 0.000 0.000 0.500 1
Se1 0.250 0.250 0.750 1

=====

# K2Ni2P (GGA-PBE, relaxed)
# uncorrected energy: -37.24 eV per cell
# DFT formation energy: 0.11 eV per atom
# calculated volume: 19.74 Å³/atom
data_K2Ni2P
_chemical_formula_sum 'K4 Ni4 P2'
_space_group_name_H-M_alt 'P 4/m b m'
_space_group_IT_number 127
_space_group_name_Hall '-P 4 2ab'
_cell_length_a 6.024
_cell_length_b 6.024
_cell_length_c 5.440
_cell_angle_alpha 90.00
_cell_angle_beta 90.00
_cell_angle_gamma 90.00
loop_
_atom_site_label
_atom_site_fract_x
_atom_site_fract_y
_atom_site_fract_z
_atom_site_occupancy
K1 0.179 0.321 0.000 1
Ni1 0.163 0.663 0.500 1
P1 0.000 0.000 0.500 1